[1]
AlTl3Si | PBE-GGA | optimized geometry

```
AlTl3Si
1.0
-4.367 -0.662 -3.037
3.104 -0.661 -4.320
0.159 -5.278 0.922
Al Tl Si
1 3 1
Cartesian
0.000 0.000 0.000
0.080 -2.639 0.461
1.552 -0.330 -2.160
-2.184 -0.331 -1.518
-0.552 -3.300 -3.218
```

## Properties
As for the energy relative to the lowest polymorph listed for this composition: 92 meV/atom. As for the energy relative to the elements, uncorrected: 0.7134 eV/atom. Its space-group type is Pm-3m, No. 221. Its size of the total moment is 0.000 μB per atom.

***

[2]
SrGa2Pb | PBE-GGA | optimized geometry

```
SrGa2Pb
1.0
4.604 0.000 0.000
0.000 4.767 0.000
0.000 0.000 4.767
Ga Pb Sr
2 1 1
Cartesian
0.000 2.383 0.000
0.000 0.000 2.383
2.302 2.383 2.383
2.302 0.000 0.000
```

## Properties
Its energy relative to the elements is -0.240 eV per atom. Its space-group type is P4/mmm, No. 123. Its size of the total moment is 0.000 μB per atom.

***

[3]
Pr2SbO | PBE-GGA | optimized geometry

```
Pr2SbO
1.0
-0.980 0.090 -4.577
0.464 -4.654 -0.191
-8.936 -0.968 1.895
Pr Sb O
4 2 2
Cartesian
-7.943 -4.242 -1.974
-4.365 -3.952 -0.340
-1.509 -1.290 -0.898
-5.087 -1.580 -2.533
-2.207 -3.620 -3.189
-7.245 -1.912 0.316
-5.571 -3.985 -2.477
-3.881 -1.547 -0.396
```

## Properties
As for the energy relative to the lowest polymorph listed for this composition: 0 meV/atom. As for the energy relative to the elements, uncorrected: -1.9900 eV/atom. Its space-group type is P4/nmm, No. 129. Its size of the total moment is 0.000 μB per atom.

***

[4]
ThTeO | PBE-GGA | optimized geometry

```
ThTeO
1.0
4.140 0.000 0.000
0.000 4.140 0.000
0.000 0.000 7.696
Te Th O
2 2 2
Cartesian
0.000 2.070 2.805
2.070 0.000 4.891
0.000 2.070 6.407
2.070 0.000 1.289
0.000 0.000 0.000
2.070 2.070 0.000
```

## Properties
As for the energy relative to the lowest polymorph listed for this composition: 0 meV/atom. As for the energy relative to the elements, uncorrected: -2.6194 eV/atom. Its space-group type is P4/nmm, No. 129. Its size of the total moment is 0.000 μB per atom.

***

[5]
Ta2NiW | PBE-GGA | optimized geometry

```
Ta2NiW
1.0
5.050 -0.003 -0.005
1.898 4.680 0.005
-3.037 -2.988 2.711
Ta W Ni
2 1 1
Cartesian
3.450 2.322 0.000
0.025 0.017 0.000
2.744 -0.326 1.353
1.168 2.015 1.358
```

## Properties
Its energy relative to the elements is 0.066 eV per atom. Its space-group type is Immm, No. 71. Its size of the total moment is 0.000 μB per atom.

***

[6]
EuY2Tl | PBE-GGA | optimized geometry

```
EuY2Tl
1.0
-4.501 1.380 1.051
0.380 -2.173 4.483
1.756 4.266 1.919
Y Eu Tl
2 1 1
Cartesian
0.190 -1.087 2.242
0.878 2.133 0.959
-2.251 0.690 0.526
-1.182 1.737 3.727
```

## Properties
As for the energy relative to the lowest polymorph listed for this composition: 0 meV/atom. Its energy relative to the elements is -0.156 eV per atom. Its space-group type is P4/mmm, No. 123. Its size of the total moment is 1.930 μB per atom.